[1]
Below is crystalline Ag4P at its relaxed geometry, with properties calculated at the GGA-PBE level.

Summary:
E above lowest polymorph	0.000	eV/atom
raw total energy	-3.138	eV/atom
energy relative to the elements	0.225	eV per atom
volume	102.42	Å³/f.u.

Cell: 5.895 5.895 5.895 Å, 90.00 90.00 90.00°
Space group Im-3m (No. 229)
Inequivalent atoms, fractional coordinates:
Ag 0.250 0.250 0.250 [8 per cell]
P 0.000 0.000 0.000 [2 per cell]

=====

[2]
Below is crystalline CaTc at its relaxed geometry, with properties calculated at the GGA-PBE level.

Summary:
E above lowest polymorph	0.900	eV/atom
raw total energy	-5.071	eV/atom
energy relative to the elements	1.113	eV per atom
volume	55.61	Å³/f.u.

Cell: 6.140 6.140 5.900 Å, 90.00 90.00 90.00°
Space group P4_2/mnm (No. 136)
Inequivalent atoms, fractional coordinates:
Ca 0.187 0.187 0.000 [4 per cell]
Tc 0.125 0.125 0.500 [4 per cell]

=====

[3]
Below is crystalline NaAs4Pd5 at its relaxed geometry, with properties calculated at the GGA-PBE level.

Summary:
raw total energy	-4.862	eV/atom
energy relative to the elements	-0.273	eV per atom
volume	194.50	Å³/f.u.

Cell: 7.010 9.229 6.013 Å, 90.00 90.00 90.00°
Space group Pmmn (No. 59, origin choice 2)
Inequivalent atoms, fractional coordinates:
Na 0.250 0.250 0.074 [2 per cell]
As 0.048 0.750 0.429 [4 per cell]
As 0.250 0.575 0.066 [4 per cell]
Pd 0.041 0.010 0.734 [8 per cell]
Pd 0.250 0.750 0.765 [2 per cell]

=====

[4]
Below is crystalline BeCl2 at its relaxed geometry, with properties calculated at the GGA-PBE level.

Summary:
formation energy from raw total energies	-1.145	eV per atom
E above lowest polymorph	0.289	eV/atom
raw total energy	-3.618	eV/atom
volume	60.40	Å³/f.u.

Cell: 3.2670 3.2670 6.5349 Å, 90.00 90.00 120.00°
Space group P-3m1 (No. 164)
Inequivalent atoms, fractional coordinates:
Be 0.0000 0.0000 0.0000 [1 per cell]
Cl 0.3333 0.6667 0.1924 [2 per cell]

=====

[5]
Below is crystalline AgOsPbO5 at its relaxed geometry, with properties calculated at the GGA-PBE level.

Summary:
formation energy from raw total energies	-0.673	eV per atom
raw total energy	-5.996	eV/atom
volume	156.02	Å³/f.u.

Cell: 7.041 11.408 8.483 Å, 90.00 113.66 90.00°
Space group C2/c (No. 15)
Inequivalent atoms, fractional coordinates:
Ag 0.000 0.237 0.250 [4 per cell]
Os 0.000 0.205 0.750 [4 per cell]
Pb 0.000 0.500 0.000 [4 per cell]
O 0.000 0.432 0.250 [4 per cell]
O 0.149 0.300 0.672 [8 per cell]
O 0.156 0.116 0.926 [8 per cell]

=====

[6]
Below is crystalline VZn2Ni at its relaxed geometry, with properties calculated at the GGA-PBE level.

Summary:
raw total energy	-4.450	eV/atom
energy relative to the elements	-0.088	eV per atom
volume	51.72	Å³/f.u.

Cell: 2.644 2.644 7.399 Å, 90.00 90.00 90.00°
Space group P4/mmm (No. 123)
Inequivalent atoms, fractional coordinates:
V 0.000 0.000 0.000 [1 per cell]
Zn 0.500 0.500 0.269 [2 per cell]
Ni 0.000 0.000 0.500 [1 per cell]